4
Lattice="4.360 0.016 0.000 -0.133 4.353 0.000 -2.113 -2.185 6.135" Properties=species:S:1:pos:R:3 comment="PBEsol BaIn2Cu, relaxed" final_energy_ev_per_atom=-2.94 ef_ev_per_atom=0.17 pbc="T T T"
Ba -0.067 2.177 0.000
In -1.057 -1.092 3.067
In 1.057 1.092 3.067
Cu 2.180 0.008 0.000